# 1
This record from Alexandria describes a geometry-optimized NdGa2CuNi structure. The functional is PBE.

POSCAR file:
```
NdGa2CuNi
1.0
-3.4021 -1.5333 1.9832
2.2796 -3.2831 1.3722
1.7899 4.9700 2.4106
Ga Cu Ni Nd
2 1 1 1
Cartesian
-0.2403 -1.7391 2.7455
0.9078 1.8927 3.0205
1.7541 -0.3606 2.7303
-1.0867 0.5143 3.0358
0.0000 0.0000 0.0000
```

As for the density of states at the Fermi level: 0.830 states/eV per atom. The formation energy from the elements is -0.4695 eV/atom.

***

# 2
This record from Alexandria describes a geometry-optimized NdGaCuNi structure. The functional is PBE.

POSCAR file:
```
NdGaCuNi
1.0
4.6223 0.0000 0.0000
2.3112 4.0030 0.0000
2.3112 1.3343 3.7741
Ni Cu Nd Ga
1 1 1 1
Cartesian
0.0000 0.0000 0.0000
4.6223 2.6687 1.8871
2.3112 1.3343 0.9435
6.9335 4.0030 2.8306
```

As for the density of states at the Fermi level: 1.028 states/eV per atom. The formation energy from the elements is -0.2464 eV/atom.

***

# 3
This record from Alexandria describes a geometry-optimized NdGa2CuNi5 structure. The functional is PBE.

POSCAR file:
```
NdGa2CuNi5
1.0
4.5000 0.0000 0.0000
0.0000 4.5000 0.0000
0.0000 0.0000 6.8433
Ni Cu Ga Nd
5 1 2 1
Cartesian
2.2500 0.0000 1.3677
2.2500 0.0000 5.4756
2.2500 2.2500 3.4217
0.0000 2.2500 5.4756
0.0000 2.2500 1.3677
0.0000 0.0000 0.0000
2.2500 2.2500 5.6618
2.2500 2.2500 1.1815
0.0000 0.0000 3.4217
```

As for the density of states at the Fermi level: 0.604 states/eV per atom. The formation energy from the elements is 0.0660 eV/atom.

***

# 4
This record from Alexandria describes a geometry-optimized SrNdGaCuO5 structure. The functional is PBE.

POSCAR file:
```
SrNdGaCuO5
1.0
9.0769 0.0168 0.0140
-5.7873 6.9926 0.0140
1.5618 3.3278 3.8948
Ga O Sr Nd Cu
2 10 2 2 2
Cartesian
2.4292 5.1762 3.5172
2.3029 4.9071 0.1804
6.0584 3.4452 1.9139
-1.2213 6.8616 1.9139
1.9855 4.2307 1.9293
-0.3783 8.5252 3.8352
3.2089 6.8374 2.8694
1.1503 6.3260 0.0317
4.1309 4.9272 0.0317
6.7993 5.1567 3.8352
-0.7237 2.2431 0.4443
2.1878 0.8767 0.4443
3.6372 2.3706 1.9897
-0.5007 4.3126 1.9897
5.4868 5.9508 1.8095
1.0712 8.0231 1.8095
-1.3266 6.8285 3.8479
6.1002 3.3430 3.8479
```

As for the density of states at the Fermi level: 0.122 states/eV per atom. For the raw formation energy, the calculation gives -2217 meV per atom.

***

# 5
This record from Alexandria describes a geometry-optimized NdGa2CuPd2 structure. The functional is PBE.

POSCAR file:
```
NdGa2CuPd2
1.0
-3.0197 -3.3495 -0.5481
1.9692 -2.3265 3.3686
-3.4136 2.4716 3.7025
Cu Pd Ga Nd
1 2 2 1
Cartesian
0.0000 0.0000 0.0000
-3.0605 -1.0024 4.1600
-1.4036 -2.2020 2.3630
0.9846 -1.1633 1.6843
-1.5098 -1.6747 -0.2740
-1.7068 1.2358 1.8512
```

As for the density of states at the Fermi level: 0.626 states/eV per atom. The formation energy from the elements is -0.3477 eV/atom.

***

# 6
This record from Alexandria describes a geometry-optimized NdGaCuPd structure. The functional is PBE.

POSCAR file:
```
NdGaCuPd
1.0
4.7563 0.0000 0.0000
2.3781 4.1190 0.0000
2.3781 1.3730 3.8835
Nd Ga Cu Pd
1 1 1 1
Cartesian
0.0000 0.0000 0.0000
4.7563 2.7460 1.9417
2.3781 1.3730 0.9709
7.1344 4.1190 2.9126
```

As for the density of states at the Fermi level: 0.864 states/eV per atom. The formation energy from the elements is -0.4406 eV/atom.

***

# 7
This record from Alexandria describes a geometry-optimized NdGaCuPd structure. The functional is PBE.

POSCAR file:
```
NdGaCuPd
1.0
4.3827 0.0000 0.0000
-2.1914 3.7973 -0.0014
0.0000 -2.5272 4.7556
Ga Cu Pd Nd
1 1 1 1
Cartesian
0.0000 -1.6210 4.6189
0.0000 0.9099 4.1796
2.1914 2.1730 0.5747
2.1914 -0.3588 2.3581
```

As for the density of states at the Fermi level: 0.736 states/eV per atom. The formation energy from the elements is -0.5497 eV/atom.

***

# 8
This record from Alexandria describes a geometry-optimized NdGa3CuPd structure. The functional is PBE.

POSCAR file:
```
NdGa3CuPd
1.0
-6.1368 -0.1292 -0.4076
0.3231 -5.1585 -3.2285
-0.4361 -0.6703 6.7788
Ga Pd Nd Cu
6 2 2 2
Cartesian
-4.6331 -4.9492 1.6927
0.0935 -1.4922 -0.9339
-2.8388 -3.7309 -2.4984
0.2296 -3.6663 -2.2946
-1.6167 -1.0087 1.4500
-2.9749 -1.5568 -1.1377
-1.7302 -2.3518 3.5846
-4.5197 -3.6061 -0.4419
-4.7575 -1.9297 2.6072
-1.4924 -4.0282 0.5354
-4.6325 -0.4510 0.2570
-1.6173 -5.5070 2.8856
```

As for the density of states at the Fermi level: 0.350 states/eV per atom. The formation energy from the elements is -0.3700 eV/atom.

***

# 9
This record from Alexandria describes a geometry-optimized NdGa5CuPd2 structure. The functional is PBE.

POSCAR file:
```
NdGa5CuPd2
1.0
-2.8915 -0.7096 -3.0908
-1.5044 -3.3752 2.1822
-6.5594 6.0006 4.7588
Pd Ga Cu Nd
2 5 1 1
Cartesian
-3.9518 -0.4379 0.8181
-7.0035 2.3538 3.0321
-6.3917 3.4715 5.1825
-1.6722 -0.8460 1.7585
-5.4777 0.9580 1.9251
-2.3657 0.4868 -0.8780
-7.0852 4.8043 2.5460
0.0000 0.0000 0.0000
-3.2797 3.0003 2.3794
```

As for the density of states at the Fermi level: 0.333 states/eV per atom. The formation energy from the elements is -0.2995 eV/atom.

***

# 10
This record from Alexandria describes a geometry-optimized NdGa2CuPd5 structure. The functional is PBE.

POSCAR file:
```
NdGa2CuPd5
1.0
4.7445 0.0000 0.0000
0.0000 4.7445 0.0000
0.0000 0.0000 7.2436
Cu Pd Nd Ga
1 5 1 2
Cartesian
0.0000 0.0000 0.0000
2.3722 2.3722 3.6218
2.3722 0.0000 5.6479
0.0000 2.3722 5.6479
2.3722 0.0000 1.5956
0.0000 2.3722 1.5956
0.0000 0.0000 3.6218
2.3722 2.3722 1.1812
2.3722 2.3722 6.0624
```

As for the density of states at the Fermi level: 0.564 states/eV per atom. The formation energy from the elements is -0.3587 eV/atom.

***

# 11
This record from Alexandria describes a geometry-optimized NdGa2CuPd4 structure. The functional is PBE.

POSCAR file:
```
NdGa2CuPd4
1.0
-3.2716 -0.7216 -2.7110
0.6446 -2.2891 -3.5942
-2.8212 -8.2782 2.1825
Pd Nd Cu Ga
4 1 1 2
Cartesian
-3.2931 -7.7718 -0.8085
-2.1552 -3.5171 -3.3142
-3.3908 -5.8664 -4.6234
-2.0575 -5.4226 0.5007
0.0000 0.0000 0.0000
-2.7242 -5.6445 -2.0613
-4.0034 -8.1569 -3.2745
-1.4449 -3.1321 -0.8482
```

As for the density of states at the Fermi level: 0.550 states/eV per atom. The formation energy from the elements is -0.6100 eV/atom.

***

# 12
This record from Alexandria describes a geometry-optimized Nd3GaCu2Pd9 structure. The functional is PBE.

POSCAR file:
```
Nd3GaCu2Pd9
1.0
-1.0797 -3.8323 -6.3655
2.7748 -3.4751 6.0494
-5.8516 -1.4378 1.8581
Cu Nd Pd Ga
2 3 9 1
Cartesian
-4.6628 -4.9093 -0.6814
0.5063 -3.8359 2.2235
-2.4323 -4.5579 3.1566
0.0000 0.0000 0.0000
-1.7242 -4.1873 -1.6146
1.3874 -1.7376 3.0247
0.8476 -3.6537 -0.1580
-4.3664 -4.7373 -3.0693
-3.8216 -2.8038 0.1423
-1.1901 -2.2546 1.5592
-0.5398 -1.9161 -3.1828
-2.9664 -6.4906 -0.0172
-0.3348 -5.9415 1.3997
0.2099 -4.0079 4.6114
-2.9258 -0.7189 0.9291
```

As for the density of states at the Fermi level: 0.409 states/eV per atom. The formation energy from the elements is -0.3325 eV/atom.